No. 1
{"formula": "TiNbSi2", "functional": "PBE", "state": "relaxed", "lattice": [[3.697, 0.000, 0.000], [0.000, 5.037, 0.000], [0.000, 0.000, 6.540]], "species": ["Ti", "Ti", "Nb", "Nb", "Si", "Si", "Si", "Si"], "fractional_positions": [[0.000, 0.122, 0.676], [0.000, 0.878, 0.176], [0.500, 0.376, 0.325], [0.500, 0.624, 0.825], [0.000, 0.612, 0.544], [0.000, 0.388, 0.044], [0.500, 0.895, 0.455], [0.500, 0.105, 0.955]], "space_group": "No. 26", "e_form_raw_mev_per_atom": -684, "vol_a3_per_atom": 15.22, "total_energy_ev_per_fu": -31.55, "magnetic_moment_mub_per_cell": 0.0}

---

No. 2
{"formula": "TiNbSi3", "functional": "PBE", "state": "relaxed", "lattice": [[-0.343, -4.489, 1.492], [3.469, 0.779, 3.139], [-3.216, 1.319, 3.227]], "species": ["Nb", "Si", "Si", "Si", "Ti"], "fractional_positions": [[0.000, 0.000, 0.000], [0.000, 0.500, 0.000], [0.000, 0.000, 0.500], [0.500, 0.000, 0.000], [0.500, 0.500, 0.500]], "space_group": "No. 221", "e_form_raw_mev_per_atom": 833, "vol_a3_per_atom": 21.33, "total_energy_ev_per_fu": -30.07, "magnetic_moment_mub_per_cell": 0.0}

---

Results for excess energy over the best structure of this formula in the dataset: 0 0 (in meV/atom, following the order of the records).